First-principles (PBE) data for a relaxed structure of NaSrTaV2, as listed in the Alexandria database.

Geometry as POSCAR:
```
NaSrTaV2
1.0
-0.139 -2.274 -4.411
-2.629 -3.741 2.011
-4.219 2.378 -1.093
V Na Sr Ta
2 1 1 1
Direct
0.000 0.000 0.500 V
0.500 0.000 0.000 V
0.000 0.000 0.000 Na
0.000 0.500 0.000 Sr
0.500 0.500 0.500 Ta
```

Calculated values
As for the space group: P4/mmm (123). The formation energy comes out at 2.0988 eV per atom. The energy is -4.519 eV/atom. The calculated volume comes out at 123.1 Å³/cell. For the magnetization, the calculation gives 5.08 μB/f.u.



First-principles (PBE) data for a relaxed structure of NaSrTb, as listed in the Alexandria database.

Geometry as POSCAR:
```
NaSrTb
1.0
6.521 1.709 2.345
4.738 4.795 2.345
10.090 5.829 14.656
Sr Tb Na
2 2 2
Direct
0.743 0.743 0.329 Sr
0.011 0.011 0.978 Sr
0.227 0.227 0.663 Tb
0.526 0.526 0.644 Tb
0.478 0.478 0.335 Na
0.275 0.275 0.973 Na
```

Calculated values
As for the space group: C2/m (12). The formation energy comes out at 0.3399 eV per atom. The energy is -2.204 eV/atom. The calculated volume comes out at 242.2 Å³/cell. For the magnetization, the calculation gives 0.00 μB/f.u.



First-principles (PBE) data for a relaxed structure of NaSr2Tb, as listed in the Alexandria database.

Geometry as POSCAR:
```
NaSr2Tb
1.0
-0.415 -3.883 -0.127
2.663 -0.191 -2.852
8.193 -1.128 7.725
Sr Na Tb
2 1 1
Direct
0.000 0.000 0.257 Sr
0.000 0.000 0.743 Sr
0.500 0.500 0.000 Na
0.500 0.500 0.500 Tb
```

Calculated values
As for the space group: P4/mmm (123). The formation energy comes out at 0.1391 eV per atom. The energy is -2.189 eV/atom. The calculated volume comes out at 172.7 Å³/cell. For the magnetization, the calculation gives 0.71 μB/f.u.



First-principles (PBE) data for a relaxed structure of NaSr2Tb, as listed in the Alexandria database.

Geometry as POSCAR:
```
NaSr2Tb
1.0
4.156 0.000 0.000
0.000 6.396 0.000
0.000 0.000 6.396
Na Tb Sr
1 1 2
Direct
0.500 0.500 0.500 Na
0.500 0.000 0.000 Tb
0.000 0.500 0.000 Sr
0.000 0.000 0.500 Sr
```

Calculated values
As for the space group: P4/mmm (123). The formation energy comes out at 0.1923 eV per atom. The energy is -2.136 eV/atom. The calculated volume comes out at 170.0 Å³/cell. For the magnetization, the calculation gives 0.00 μB/f.u.



First-principles (PBE) data for a relaxed structure of NaSr2Tb, as listed in the Alexandria database.

Geometry as POSCAR:
```
NaSr2Tb
1.0
-1.469 -3.249 1.340
1.329 -1.498 3.240
-9.437 5.622 8.708
Tb Sr Na
1 2 1
Direct
0.000 0.000 0.000 Tb
0.914 0.914 0.257 Sr
0.086 0.086 0.743 Sr
0.500 0.500 0.500 Na
```

Calculated values
As for the space group: R-3m (166). The formation energy comes out at 0.3301 eV per atom. The energy is -1.998 eV/atom. The calculated volume comes out at 174.0 Å³/cell. For the magnetization, the calculation gives 0.70 μB/f.u.



First-principles (PBE) data for a relaxed structure of Na2SrTb, as listed in the Alexandria database.

Geometry as POSCAR:
```
Na2SrTb
1.0
3.684 0.000 0.000
1.842 3.190 0.000
1.842 1.063 13.719
Na Sr Tb
2 1 1
Direct
0.084 0.084 0.747 Na
0.916 0.916 0.253 Na
0.500 0.500 0.500 Sr
0.000 0.000 0.000 Tb
```

Calculated values
As for the space group: R-3m (166). The formation energy comes out at 0.3399 eV per atom. The energy is -1.898 eV/atom. The calculated volume comes out at 161.2 Å³/cell. For the magnetization, the calculation gives 0.09 μB/f.u.